No. 1
# MgCd4GaAg

An optimized crystal structure of MgCd4GaAg (PBE, the Alexandria database).

Cell and atoms, written as POSCAR:
```
MgCd4GaAg
1.0
6.850 0.000 0.000
3.425 6.755 -0.816
3.425 1.280 6.683
Mg Cd Ga Ag
2 8 2 2
Cartesian
0.000 0.000 0.000
3.425 4.018 2.933
10.275 6.877 4.783
6.850 5.402 3.706
6.850 2.633 2.160
3.425 1.158 1.083
5.372 5.174 0.903
8.327 5.174 0.903
5.372 2.862 4.963
8.327 2.862 4.963
5.137 0.640 3.341
1.712 0.640 3.341
10.275 4.413 6.096
3.425 3.622 -0.229
```

Computed properties:
Energy of formation   46.4 meV per atom
Calculated volume   22.60 Å³/atom
M_tot   0.000 μB/cell
E_tot   -1.544 eV/atom

***

No. 2
# HgSbTe2Mo

An optimized crystal structure of HgSbTe2Mo (PBE, the Alexandria database).

Cell and atoms, written as POSCAR:
```
HgSbTe2Mo
1.0
-4.852 2.170 -0.215
-1.641 -3.978 -3.127
-1.449 -2.810 4.335
Sb Mo Te Hg
1 1 2 1
Cartesian
-0.725 -1.405 2.168
0.000 0.000 0.000
-0.820 -1.989 -1.564
-2.426 1.085 -0.108
-3.971 -2.309 0.496
```

Computed properties:
Calculated volume   30.36 Å³/atom
M_tot   0.000 μB/cell
Formation energy from raw total energies   1.9 eV per formula unit
E_tot   -3.928 eV/atom

***

No. 3
# LiSbPb2

An optimized crystal structure of LiSbPb2 (PBE, the Alexandria database).

Cell and atoms, written as POSCAR:
```
LiSbPb2
1.0
5.901 -0.096 0.000
-2.164 5.491 0.000
0.000 0.000 3.452
Li Pb Sb
1 2 1
Cartesian
-1.082 2.745 1.726
0.000 0.000 0.000
1.868 2.697 0.000
2.951 -0.048 1.726
```

Computed properties:
Calculated volume   27.78 Å³/atom
M_tot   0.000 μB/cell
Formation energy from raw total energies   -0.4 eV per formula unit
E_tot   -3.464 eV/atom

***

No. 4
# CaZnGa2Pd

An optimized crystal structure of CaZnGa2Pd (PBE, the Alexandria database).

Cell and atoms, written as POSCAR:
```
CaZnGa2Pd
1.0
4.269 0.000 0.000
0.000 4.269 0.000
-2.135 -2.135 5.317
Ca Zn Ga Pd
1 1 2 1
Cartesian
0.000 0.000 0.000
0.000 2.135 2.659
2.135 2.135 1.264
0.000 0.000 4.053
2.135 0.000 2.659
```

Computed properties:
Energy of formation   -518.7 meV per atom
Calculated volume   19.38 Å³/atom
M_tot   0.000 μB/cell
E_tot   -3.423 eV/atom

***

No. 5
# Ba2PAu

An optimized crystal structure of Ba2PAu (PBE, the Alexandria database).

Cell and atoms, written as POSCAR:
```
Ba2PAu
1.0
5.590 0.000 0.000
0.000 4.044 -0.002
0.000 0.003 5.588
Au Ba P
1 2 1
Cartesian
2.795 2.531 4.889
0.000 0.503 4.889
2.795 0.511 2.096
0.000 2.527 2.093
```

Computed properties:
Energy of formation   -776.6 meV per atom
Calculated volume   31.58 Å³/atom
M_tot   0.000 μB/cell
E_tot   -3.910 eV/atom

***

No. 6
# SrHg2Pb2

An optimized crystal structure of SrHg2Pb2 (PBE, the Alexandria database).

Cell and atoms, written as POSCAR:
```
SrHg2Pb2
1.0
8.840 0.000 0.000
0.000 8.840 0.000
0.000 0.000 3.961
Pb Sr Hg
4 2 4
Cartesian
3.281 7.701 0.000
7.701 5.559 0.000
5.559 1.139 0.000
1.139 3.281 0.000
0.000 0.000 0.000
4.420 4.420 0.000
1.497 5.917 1.981
5.917 7.342 1.981
7.342 2.922 1.981
2.922 1.497 1.981
```

Computed properties:
Energy of formation   -153.8 meV per atom
Calculated volume   30.95 Å³/atom
M_tot   0.000 μB/cell
E_tot   -2.094 eV/atom

***

No. 7
# CeAsF

An optimized crystal structure of CeAsF (PBE, the Alexandria database).

Cell and atoms, written as POSCAR:
```
CeAsF
1.0
4.582 0.000 0.000
2.291 3.968 0.000
2.291 1.323 3.741
As Ce F
1 1 1
Cartesian
0.000 0.000 0.000
2.291 1.323 0.935
4.582 2.645 1.871
```

Computed properties:
Calculated volume   22.67 Å³/atom
M_tot   0.000 μB/cell
Formation energy from raw total energies   -5.7 eV per formula unit
E_tot   -6.043 eV/atom

***

No. 8
# ScTl2PbS4

An optimized crystal structure of ScTl2PbS4 (PBE, the Alexandria database).

Cell and atoms, written as POSCAR:
```
ScTl2PbS4
1.0
3.950 0.000 0.000
0.000 7.389 -0.280
0.000 2.474 6.771
Sc Tl Pb S
1 2 1 4
Cartesian
0.000 4.931 3.246
0.000 2.474 6.771
1.975 1.237 3.386
1.975 3.694 -0.140
0.000 7.131 4.719
3.950 2.732 1.772
1.975 5.907 1.791
1.975 3.956 4.700
```

Computed properties:
Calculated volume   25.05 Å³/atom
M_tot   0.000 μB/cell
Formation energy from raw total energies   -6.6 eV per formula unit
E_tot   -4.735 eV/atom

***

No. 9
# As2Pd2Pt

An optimized crystal structure of As2Pd2Pt (PBE, the Alexandria database).

Cell and atoms, written as POSCAR:
```
As2Pd2Pt
1.0
7.060 0.000 0.000
0.000 7.060 0.000
0.000 0.000 3.341
As Pd Pt
4 4 2
Cartesian
2.416 5.946 0.000
5.946 4.644 0.000
4.644 1.114 0.000
1.114 2.416 0.000
1.015 4.545 1.671
4.545 6.045 1.671
6.045 2.515 1.671
2.515 1.015 1.671
0.000 0.000 0.000
3.530 3.530 0.000
```

Computed properties:
Energy of formation   -132.9 meV per atom
Calculated volume   16.65 Å³/atom
M_tot   0.000 μB/cell
E_tot   -5.278 eV/atom

***

No. 10
# BeAsAu

An optimized crystal structure of BeAsAu (PBE, the Alexandria database).

Cell and atoms, written as POSCAR:
```
BeAsAu
1.0
-2.637 0.931 -2.846
-2.018 -3.355 0.771
-3.371 2.968 4.094
Be As Au
2 2 2
Cartesian
-1.685 1.484 2.047
-4.012 0.272 1.009
-1.698 -1.070 1.223
-4.000 2.826 1.833
-3.499 0.515 3.410
-2.199 1.241 -0.354
```

Computed properties:
Energy of formation   91.9 meV per atom
Calculated volume   16.12 Å³/atom
M_tot   0.000 μB/cell
E_tot   -3.792 eV/atom

***

No. 11
# KBaCdO2

An optimized crystal structure of KBaCdO2 (PBE, the Alexandria database).

Cell and atoms, written as POSCAR:
```
KBaCdO2
1.0
6.034 0.000 0.000
0.000 6.398 0.892
0.000 -1.026 7.437
K Ba Cd O
2 2 2 4
Cartesian
3.013 -0.256 1.859
3.021 -0.769 5.577
0.005 2.430 6.023
6.029 2.943 2.305
0.000 0.000 0.000
0.000 -0.513 3.718
4.833 3.624 8.078
4.833 1.236 3.968
1.201 4.137 4.360
1.201 1.749 0.250
```

Computed properties:
Calculated volume   29.26 Å³/atom
M_tot   0.000 μB/cell
Formation energy from raw total energies   -6.3 eV per formula unit
E_tot   -4.023 eV/atom

***

No. 12
# HoPa3P4N12

An optimized crystal structure of HoPa3P4N12 (PBE, the Alexandria database).

Cell and atoms, written as POSCAR:
```
HoPa3P4N12
1.0
-2.061 -6.158 2.275
6.203 -1.267 -2.696
1.425 3.461 5.774
Ho Pa P N
1 3 4 12
Cartesian
0.000 0.000 0.000
1.754 -3.900 -0.020
-0.185 -0.980 4.159
3.997 0.916 1.215
-1.028 -4.238 4.969
4.391 2.454 4.290
4.987 -4.162 -1.229
2.783 -1.982 2.677
2.079 -1.285 3.925
1.419 -5.747 1.307
6.018 -0.068 0.731
0.913 -0.132 5.992
5.576 -2.765 -0.756
3.193 1.786 5.092
-0.359 -5.010 3.753
3.760 -4.929 -0.573
5.123 1.839 3.022
-0.594 -2.813 5.522
2.270 -3.400 2.161
4.001 -1.261 1.944
```

Computed properties:
Calculated volume   14.65 Å³/atom
M_tot   0.000 μB/cell
Formation energy from raw total energies   -16.9 eV per formula unit
E_tot   -8.576 eV/atom

***

No. 13
# Nd2Ni3Ge2

An optimized crystal structure of Nd2Ni3Ge2 (PBE, the Alexandria database).

Cell and atoms, written as POSCAR:
```
Nd2Ni3Ge2
1.0
3.888 0.000 0.000
-1.944 5.333 -0.258
0.000 -2.762 6.261
Nd Ni Ge
2 3 2
Cartesian
1.944 3.257 1.325
0.000 -0.686 4.678
1.944 0.000 0.000
1.944 0.295 2.589
0.000 2.276 3.414
1.944 1.633 4.671
0.000 0.938 1.332
```

Computed properties:
Energy of formation   -554.9 meV per atom
Calculated volume   18.15 Å³/atom
M_tot   0.000 μB/cell
E_tot   -5.714 eV/atom

***

No. 14
# Ca6Te5I

An optimized crystal structure of Ca6Te5I (PBE, the Alexandria database).

Cell and atoms, written as POSCAR:
```
Ca6Te5I
1.0
7.730 0.185 1.173
1.895 6.561 3.824
0.128 0.073 7.822
I Ca Te
1 6 5
Cartesian
0.000 0.000 0.000
5.929 0.732 3.918
3.126 3.785 5.186
2.462 1.769 1.302
7.163 4.978 3.695
6.626 3.034 7.633
3.824 6.087 8.901
4.256 1.197 6.508
0.672 2.203 3.897
4.812 3.373 2.498
1.351 4.430 7.750
5.496 5.622 6.311
```

Computed properties:
Calculated volume   32.59 Å³/atom
M_tot   0.000 μB/cell
Formation energy from raw total energies   -18.7 eV per formula unit
E_tot   -3.999 eV/atom

***

No. 15
# ScHg2AsS

An optimized crystal structure of ScHg2AsS (PBE, the Alexandria database).

Cell and atoms, written as POSCAR:
```
ScHg2AsS
1.0
5.179 0.000 0.000
0.000 4.966 0.000
0.000 0.000 5.179
Sc As S Hg
1 1 1 2
Cartesian
2.590 2.483 2.590
0.000 0.000 0.000
0.000 2.483 0.000
0.000 0.000 2.590
2.590 0.000 0.000
```

Computed properties:
Calculated volume   26.64 Å³/atom
M_tot   0.701 μB/cell
Formation energy from raw total energies   1.7 eV per formula unit
E_tot   -2.795 eV/atom

***

No. 16
# CsCeHg2Br8

An optimized crystal structure of CsCeHg2Br8 (PBE, the Alexandria database).

Cell and atoms, written as POSCAR:
```
CsCeHg2Br8
1.0
6.880 -0.230 0.519
-0.345 7.915 1.650
0.367 2.371 10.324
Cs Ce Hg Br
1 1 2 8
Cartesian
0.183 1.185 5.162
0.000 0.000 0.000
3.229 3.603 7.920
3.672 6.453 4.573
0.855 6.740 4.049
4.498 5.502 2.304
5.234 1.271 2.332
6.047 3.316 8.444
2.403 4.553 10.189
1.667 8.785 10.161
3.565 6.835 7.090
3.336 3.221 5.403
```

Computed properties:
Calculated volume   44.36 Å³/atom
M_tot   1.016 μB/cell
Formation energy from raw total energies   -13.5 eV per formula unit
E_tot   -2.855 eV/atom

***

No. 17
# Th12Fe5Bi

An optimized crystal structure of Th12Fe5Bi (PBE, the Alexandria database).

Cell and atoms, written as POSCAR:
```
Th12Fe5Bi
1.0
-6.059 5.784 1.822
-2.122 -7.581 3.391
7.644 1.976 3.340
Th Fe Bi
12 5 1
Cartesian
0.424 -1.901 6.034
-0.961 2.079 2.520
-0.356 5.043 4.491
-0.182 -4.865 4.062
-2.839 -0.466 4.720
2.301 0.644 3.833
4.228 -1.312 6.182
-4.766 1.490 2.371
-0.115 1.583 6.311
-0.422 -1.405 2.242
2.974 -4.853 6.382
-3.511 5.031 2.172
-5.236 -1.151 3.337
-2.944 -0.647 1.876
1.515 3.146 3.462
-2.052 -2.968 5.092
0.000 0.000 0.000
2.761 -2.803 3.365
```

Computed properties:
Energy of formation   -76.0 meV per atom
Calculated volume   26.83 Å³/atom
M_tot   0.000 μB/cell
E_tot   -7.589 eV/atom

***

No. 18
# DyHoIrAu

An optimized crystal structure of DyHoIrAu (PBE, the Alexandria database).

Cell and atoms, written as POSCAR:
```
DyHoIrAu
1.0
-2.969 1.743 -0.685
-1.596 -1.682 2.636
1.962 5.084 4.431
Dy Ho Ir Au
1 1 1 1
Cartesian
-2.106 0.487 1.373
-1.059 3.201 3.739
1.678 4.349 3.791
0.705 1.826 1.592
```

Computed properties:
Energy of formation   -851.4 meV per atom
Calculated volume   21.64 Å³/atom
M_tot   0.000 μB/cell
E_tot   -6.181 eV/atom

***

No. 19
# LiGdPd

An optimized crystal structure of LiGdPd (PBE, the Alexandria database).

Cell and atoms, written as POSCAR:
```
LiGdPd
1.0
-1.976 -3.928 1.561
-0.308 -3.726 -2.791
2.629 -3.763 0.833
Gd Pd Li
1 1 1
Cartesian
0.173 -5.708 -0.199
0.086 -2.854 -0.099
0.000 0.000 0.000
```

Computed properties:
Energy of formation   -386.3 meV per atom
Calculated volume   23.94 Å³/atom
M_tot   7.160 μB/cell
E_tot   -7.449 eV/atom

***

No. 20
# MgZn4Cu2

An optimized crystal structure of MgZn4Cu2 (PBE, the Alexandria database).

Cell and atoms, written as POSCAR:
```
MgZn4Cu2
1.0
-3.899 3.899 2.428
3.899 -3.899 2.428
3.899 3.899 -2.428
Mg Zn Cu
1 4 2
Cartesian
0.000 0.000 0.000
1.797 0.000 2.428
2.102 3.899 0.000
0.000 1.797 2.428
3.899 2.102 0.000
3.899 0.000 1.214
0.000 3.899 1.214
```

Computed properties:
Energy of formation   310.8 meV per atom
Calculated volume   21.09 Å³/atom
M_tot   0.000 μB/cell
E_tot   -1.815 eV/atom